# 1
HfScTlZn | GGA-PBE | relaxed

Cell lengths 4.8849, 4.8849, 4.8849 Å; angles 60.00, 60.00, 60.00 degrees
Sites, in units of the cell vectors:
Sc 0.7500 0.7500 0.7500
Zn 0.0000 0.0000 0.0000
Tl 0.5000 0.5000 0.5000
Hf 0.2500 0.2500 0.2500

Output
DFT formation energy (eV/atom): -0.09
Raw total energy (eV/cell): -20.28
Total moment (μB/f.u.): 0.00

# 2
TmHfSc2 | GGA-PBE | relaxed

Cell lengths 3.7439, 3.7439, 7.1972 Å; angles 90.00, 90.00, 90.00 degrees
Sites, in units of the cell vectors:
Tm 0.5000 0.5000 0.0000
Hf 0.5000 0.5000 0.5000
Sc 0.0000 0.0000 0.2799
Sc 0.0000 0.0000 0.7201

Output
Polymorph energy (0 for the lowest one) (eV/atom): 0.088
DFT formation energy (eV/atom): 0.15
Raw total energy (eV/cell): -26.51
Total moment (μB/f.u.): 0.00

# 3
Tm2Hf2Sc3 | GGA-PBE | relaxed

Cell lengths 3.2697, 13.5081, 7.9998 Å; angles 37.94, 90.03, 111.34 degrees
Sites, in units of the cell vectors:
Hf 0.1400 0.4265 0.4384
Hf 0.8600 0.5735 0.5616
Sc 0.5513 0.7012 0.7226
Sc 0.0000 0.0000 0.0000
Sc 0.4487 0.2988 0.2774
Tm 0.7373 0.1586 0.1206
Tm 0.2627 0.8414 0.8794

Output
DFT formation energy (eV/atom): 0.09
Raw total energy (eV/cell): -47.25
Total moment (μB/f.u.): 0.00

# 4
TmHf2Sc2 | GGA-PBE | relaxed

Cell lengths 8.5737, 8.5737, 3.3439 Å; angles 90.00, 90.00, 90.00 degrees
Sites, in units of the cell vectors:
Hf 0.3275 0.8275 0.5000
Hf 0.6725 0.1725 0.5000
Hf 0.8275 0.6725 0.5000
Hf 0.1725 0.3275 0.5000
Tm 0.0000 0.0000 0.0000
Tm 0.5000 0.5000 0.0000
Sc 0.3764 0.1236 0.0000
Sc 0.1236 0.6236 0.0000
Sc 0.6236 0.8764 0.0000
Sc 0.8764 0.3764 0.0000

Output
DFT formation energy (eV/atom): 0.14
Raw total energy (eV/cell): -72.69
Total moment (μB/f.u.): 0.00

# 5
TmHf2Sc | GGA-PBE | relaxed

Cell lengths 3.7054, 3.7054, 7.0749 Å; angles 90.00, 90.00, 90.00 degrees
Sites, in units of the cell vectors:
Hf 0.0000 0.0000 0.2172
Hf 0.0000 0.0000 0.7828
Tm 0.5000 0.5000 0.5000
Sc 0.5000 0.5000 0.0000

Output
Polymorph energy (0 for the lowest one) (eV/atom): 0.164
DFT formation energy (eV/atom): 0.25
Raw total energy (eV/cell): -29.72
Total moment (μB/f.u.): 0.00

# 6
TmHf4Sc8 | GGA-PBE | relaxed

Cell lengths 6.2249, 6.2237, 11.6387 Å; angles 74.42, 122.54, 119.77 degrees
Sites, in units of the cell vectors:
Sc 0.2513 0.1643 0.4165
Sc 0.5894 0.6678 0.2585
Sc 0.4086 0.8375 0.7409
Sc 0.0964 0.6684 0.2590
Sc 0.4106 0.3322 0.7415
Sc 0.5914 0.1625 0.2591
Sc 0.9036 0.3316 0.7410
Sc 0.7487 0.8357 0.5835
Hf 0.0000 0.5000 0.0000
Hf 0.0000 0.0000 0.0000
Hf 0.5000 0.5000 0.0000
Hf 0.5000 0.0000 0.0000
Tm 0.0000 0.5000 0.5000

Output
DFT formation energy (eV/atom): 0.26
Raw total energy (eV/cell): -91.58
Total moment (μB/f.u.): 0.00

Which value of total moment does entry 1 give?
0.00 μB/f.u.